VASP calculation (GGA-PBE) on crystalline Tb3TmIn2 at its relaxed geometry.

Cell: 3.392 5.682 18.630 Å, 90.00 90.00 90.00°
Fractional positions:
Tb (0.000, 0.000, 0.000)
Tb (0.000, 0.500, 0.184)
Tb (0.000, 0.500, 0.816)
Tb (0.500, 0.000, 0.316)
Tb (0.500, 0.000, 0.684)
Tb (0.500, 0.500, 0.500)
Tm (0.000, 0.500, 0.000)
Tm (0.500, 0.000, 0.500)
In (0.000, 0.500, 0.353)
In (0.000, 0.500, 0.647)
In (0.500, 0.000, 0.147)
In (0.500, 0.000, 0.853)

Results
- formation enthalpy at 0 K (eV per atom) = 0.100
- final energy (hartree per atom) = -0.142